(1)
Here is a relaxed structure of AgAsWS2 from Alexandria via LeMat-Bulk. Energies are from GGA-PBE.

abc: 4.5186 5.6572 4.5186
angles: 90.00 90.00 90.00
Fractional coordinates of all 5 atoms:
S 0.0000 0.0000 0.5000
S 0.5000 0.0000 0.0000
As 0.5000 0.5000 0.5000
Ag 0.0000 0.5000 0.0000
W 0.0000 0.0000 0.0000

Computed properties:
Density of states at the Fermi level (states/eV/atom): 0.91
Uncorrected energy (eV per atom): -5.111
Calculated volume (Å³/atom): 23.1
Space-group type: P4/mmm (123)
Total magnetization (Bohr magnetons per cell): 1.14

---

(2)
Here is a relaxed structure of Sb2IrI from Alexandria via LeMat-Bulk. Energies are from GGA-PBE.

abc: 5.0914 5.0914 5.0914
angles: 60.00 60.00 60.00
Fractional coordinates of all 4 atoms:
I 0.0000 0.0000 0.0000
Sb 0.2500 0.2500 0.2500
Sb 0.7500 0.7500 0.7500
Ir 0.5000 0.5000 0.5000

Computed properties:
Density of states at the Fermi level (states/eV/atom): 0.74
Uncorrected energy (eV per atom): -3.951
Calculated volume (Å³/atom): 23.3
Space-group type: Fm-3m (225)
Total magnetization (Bohr magnetons per cell): 0.00

---

(3)
Here is a relaxed structure of CsZn3W from Alexandria via LeMat-Bulk. Energies are from GGA-PBE.

abc: 6.6099 6.6099 6.6099
angles: 90.00 90.00 90.00
Fractional coordinates of all 5 atoms:
Cs 0.0000 0.0000 0.0000
Zn 0.0000 0.5000 0.0000
Zn 0.0000 0.0000 0.5000
Zn 0.5000 0.0000 0.0000
W 0.5000 0.5000 0.5000

Computed properties:
Density of states at the Fermi level (states/eV/atom): 0.08
Calculated volume (Å³/atom): 57.8
Offset from the most stable computed form (eV/atom): 1.328
Space-group type: Pm-3m (221)
Total magnetization (Bohr magnetons per cell): 5.03